[1]
The following is a PBE calculation of an optimized crystal structure of Y2FeHg, from the Alexandria database.

Output
E_tot: -21.50 eV per cell
energy relative to the elements: 0.2 eV per formula unit

Structure (POSCAR):
```
Y2FeHg
1.0
-2.155 -5.331 0.564
2.835 -4.166 -2.828
1.441 4.289 3.594
Y Fe Hg
2 1 1
Direct
0.250 0.750 0.500 Y
0.000 0.000 0.000 Y
0.500 0.500 0.000 Fe
0.750 0.250 0.500 Hg
```

***

[2]
The following is a PBE calculation of an optimized crystal structure of MnTl2Mo, from the Alexandria database.

Output
E_tot: -21.68 eV per cell
energy above the lowest structure with this stoichiometry: 1.26 eV/f.u.
energy relative to the elements: 3.1 eV per formula unit

Structure (POSCAR):
```
MnTl2Mo
1.0
4.686 0.000 0.000
0.000 3.038 -0.082
0.000 0.528 5.580
Mo Mn Tl
1 1 2
Direct
0.500 0.750 0.750 Mo
0.500 0.250 0.250 Mn
0.000 0.459 0.499 Tl
0.000 0.041 0.001 Tl
```

***

[3]
The following is a PBE calculation of an optimized crystal structure of La3HoZn, from the Alexandria database.

Output
E_tot: -41.01 eV per cell
energy relative to the elements: 0.1 eV per formula unit

Structure (POSCAR):
```
La3HoZn
1.0
-1.269 -1.518 -3.217
1.996 -5.828 6.389
-10.347 0.614 3.793
La Ho Zn
6 2 2
Direct
0.995 0.745 0.028 La
0.397 0.648 0.750 La
0.603 0.352 0.250 La
0.005 0.255 0.972 La
0.005 0.255 0.528 La
0.995 0.745 0.472 La
0.745 0.996 0.250 Ho
0.255 0.004 0.750 Ho
0.604 0.354 0.750 Zn
0.396 0.646 0.250 Zn
```

***

[4]
The following is a PBE calculation of an optimized crystal structure of Ti2Mn5Ge3H2, from the Alexandria database.

Output
E_tot: -86.06 eV per cell

Structure (POSCAR):
```
Ti2Mn5Ge3H2
1.0
3.690 0.000 0.000
0.000 3.690 0.000
-1.845 -1.845 10.251
Mn Ti Ge H
5 2 3 2
Direct
0.410 0.910 0.820 Mn
0.910 0.410 0.820 Mn
0.090 0.590 0.180 Mn
0.590 0.090 0.180 Mn
0.500 0.500 0.000 Mn
0.303 0.303 0.605 Ti
0.697 0.697 0.395 Ti
0.826 0.826 0.652 Ge
0.174 0.174 0.348 Ge
0.000 0.000 0.000 Ge
0.408 0.408 0.816 H
0.592 0.592 0.184 H
```